Record 1
VASP calculation (GGA-PBEsol) on a relaxed structure of Pr2O3.

```
5
Lattice="-2.7759 -1.5166 2.2165 2.6586 -2.2956 -1.6064 3.4968 0.6662 4.8351" Properties=species:S:1:pos:R:3 pbc="T T T"
Pr 1.7107 -1.8714 0.8620
O 0.0000 0.0000 0.0000
O 3.1038 -1.6059 2.7882
O 0.2758 -1.5400 2.6569
Pr 1.6688 -1.2745 4.5832
```

Results
The value obtained for the raw formation energy is -3.326 eV/atom.

***

Record 2
VASP calculation (GGA-PBEsol) on a relaxed structure of Sc2TcOs.

```
4
Lattice="3.1525 0.0000 0.0000 0.0000 4.2882 0.0000 0.0000 0.0000 4.7711" Properties=species:S:1:pos:R:3 pbc="T T T"
Os 0.0000 2.1441 2.3855
Sc 0.0000 0.0000 0.0000
Sc 1.5763 0.0000 2.3855
Tc 1.5763 2.1441 0.0000
```

Results
As for the calculated formation energy: -94 meV per atom.

***

Record 3
VASP calculation (GGA-PBEsol) on a relaxed structure of SrLaSi2.

```
4
Lattice="3.9525 0.0000 0.0000 0.0000 4.5855 0.0000 0.0000 -2.2927 5.6263" Properties=species:S:1:pos:R:3 pbc="T T T"
Sr 0.0000 0.0000 1.2114
Si 0.0000 2.2927 3.5942
Si 1.9762 2.2928 2.1093
La 1.9762 0.0000 4.4013
```

Results
The value obtained for the raw formation energy is -0.618 eV/atom.

***

Record 4
VASP calculation (GGA-PBEsol) on a relaxed structure of Y3ScAs.

```
5
Lattice="5.2334 0.0000 0.0000 0.0000 5.2334 0.0000 0.0000 0.0000 5.2334" Properties=species:S:1:pos:R:3 pbc="T T T"
Y 0.0000 0.0000 2.6167
Sc 0.0000 0.0000 0.0000
As 2.6167 2.6167 2.6167
Y 0.0000 2.6167 0.0000
Y 2.6167 0.0000 0.0000
```

Results
The calculation puts the energy relative to the lowest polymorph listed for this composition at 87.80 kJ/mol of atoms. As for the calculated formation energy: 659 meV per atom.

***

Record 5
VASP calculation (GGA-PBEsol) on a relaxed structure of NpSbTe.

```
6
Lattice="-3.1617 2.6887 0.8722 -1.1492 -0.0271 -4.0823 -5.3376 -6.7788 1.5476" Properties=species:S:1:pos:R:3 pbc="T T T"
Np -4.4342 -4.9153 -0.9220
Sb 0.0000 0.0000 0.0000
Sb -2.1555 1.3308 -1.6050
Np -3.0589 -0.5328 0.8647
Te -4.9808 -2.9736 1.4219
Te -2.5123 -2.4745 -1.4793
```

Results
The value obtained for the raw formation energy is -0.422 eV/atom.

***

Record 6
VASP calculation (GGA-PBEsol) on a relaxed structure of Ba2P.

```
3
Lattice="-3.1224 1.9693 3.9075 0.6993 -1.6260 5.0757 2.0598 3.3733 3.6434" Properties=species:S:1:pos:R:3 pbc="T T T"
Ba -0.0908 0.9291 3.1567
Ba -0.2725 2.7874 9.4700
P 0.0000 0.0000 0.0000
```

Results
As for the calculated formation energy: -806 meV per atom.

***

Number 1: magnetization 0.0 Bohr magnetons per cell. Number 2: magnetization 0.0 Bohr magnetons per cell. Number 3: magnetization 0.0 Bohr magnetons per cell. Number 4: magnetization 0.0 Bohr magnetons per cell. Number 5: magnetization 7.5 Bohr magnetons per cell. Number 6: magnetization 0.0 Bohr magnetons per cell.